(1)
The following is a DFT calculation (PBE) of a relaxed structure of DyPaGaAu.

Geometry as extended XYZ:
```
4
Lattice="5.103 0.000 0.000 2.552 4.419 0.000 2.552 1.473 4.167" Properties=species:S:1:pos:R:3 pbc="T T T"
Au 7.655 4.419 3.125
Pa 0.000 0.000 0.000
Ga 2.552 1.473 1.042
Dy 5.103 2.946 2.083
```

Calculated values
space group	F-43m (216)
uncorrected energy	-5.42	eV per atom


(2)
The following is a DFT calculation (PBE) of a relaxed structure of Ac2TmMnTe5.

Geometry as extended XYZ:
```
18
Lattice="-0.101 4.495 0.331 -9.575 -2.570 1.271 1.992 -0.922 13.150" Properties=species:S:1:pos:R:3 pbc="T T T"
Te -9.039 -0.579 5.106
Te -0.694 -0.079 0.866
Te -6.761 -0.229 1.049
Tm -4.961 1.579 7.754
Te -7.760 1.439 8.801
Ac -0.873 -0.712 9.421
Te -1.907 1.688 7.206
Tm -3.680 -0.133 0.681
Ac -7.046 1.824 3.776
Te -2.108 1.336 11.932
Te -3.715 1.961 2.942
Mn -7.360 -0.696 7.204
Ac -5.668 1.256 11.920
Te -5.169 -0.521 5.507
Te -4.304 -0.803 9.596
Mn 0.489 1.322 12.914
Ac -1.769 -0.368 4.457
Te 1.473 1.527 10.420
```

Calculated values
raw formation energy	-1.2286	eV per atom
space group	Cmc2_1 (36)
uncorrected energy	-5.40	eV per atom


(3)
The following is a DFT calculation (PBE) of a relaxed structure of MgHgOsO6.

Geometry as extended XYZ:
```
9
Lattice="5.261 0.001 -0.001 2.631 4.555 0.001 -0.001 0.002 4.825" Properties=species:S:1:pos:R:3 pbc="T T T"
Hg 7.890 4.558 4.824
O 1.953 0.124 3.472
O 1.082 1.631 1.353
Mg 5.260 3.039 2.412
O 4.179 1.631 3.471
Os 2.630 1.520 2.412
O 3.307 0.124 1.353
O 1.760 2.804 3.472
O 3.501 2.805 1.354
```

Calculated values
raw formation energy	-1.0824	eV per atom
space group	P312 (149)
uncorrected energy	-5.85	eV per atom


(4)
The following is a DFT calculation (PBE) of a relaxed structure of NaTaZn.

Geometry as extended XYZ:
```
6
Lattice="15.934 -0.103 0.089 0.220 2.898 -0.009 0.105 -1.124 2.541" Properties=species:S:1:pos:R:3 pbc="T T T"
Na 8.608 2.478 0.387
Zn 3.167 0.515 0.407
Ta 1.020 2.013 1.516
Ta 5.638 0.718 1.869
Zn 14.514 1.745 0.153
Na 11.809 0.310 1.332
```

Calculated values
E above lowest polymorph	191	meV/atom
space group	P1 (1)
uncorrected energy	-4.49	eV per atom


(5)
The following is a DFT calculation (PBE) of a relaxed structure of TlSeBr.

Geometry as extended XYZ:
```
3
Lattice="5.110 0.000 0.000 2.555 4.425 0.000 2.555 1.475 4.172" Properties=species:S:1:pos:R:3 pbc="T T T"
Br 5.110 2.950 2.086
Tl 0.000 0.000 0.000
Se 7.665 4.425 3.129
```

Calculated values
raw formation energy	-0.0012	eV per atom
space group	F-43m (216)
uncorrected energy	-2.51	eV per atom


(6)
The following is a DFT calculation (PBE) of a relaxed structure of CaY2As.

Geometry as extended XYZ:
```
4
Lattice="3.646 -0.002 0.000 -0.878 3.539 0.000 0.000 0.000 9.562" Properties=species:S:1:pos:R:3 pbc="T T T"
As 1.384 1.768 2.391
Ca 1.384 1.768 7.172
Y 0.000 0.000 0.620
Y 0.000 0.000 4.161
```

Calculated values
space group	Cmmm (65)
uncorrected energy	-5.41	eV per atom


(7)
The following is a DFT calculation (PBE) of a relaxed structure of YTi2Sb.

Geometry as extended XYZ:
```
8
Lattice="-5.848 -5.459 1.243 5.417 -5.971 -0.736 0.298 -5.606 3.150" Properties=species:S:1:pos:R:3 pbc="T T T"
Sb -2.882 -8.389 2.323
Y 2.750 -8.646 1.334
Ti -3.146 -5.786 1.524
Y -0.215 -5.715 0.254
Ti 2.972 -5.589 0.431
Sb 0.000 0.000 0.000
Ti -0.163 -8.242 2.583
Ti 0.072 -14.453 2.776
```

Calculated values
raw formation energy	0.1713	eV per atom
space group	I-42d (122)
uncorrected energy	-6.42	eV per atom


(8)
The following is a DFT calculation (PBE) of a relaxed structure of Na2La.

Geometry as extended XYZ:
```
3
Lattice="-1.740 2.054 -2.200 0.418 -2.352 -2.526 -7.105 -3.835 4.786" Properties=species:S:1:pos:R:3 pbc="T T T"
La 0.000 0.000 0.000
Na -5.188 -2.661 1.619
Na -3.238 -1.471 -1.559
```

Calculated values
E above lowest polymorph	58	meV/atom
space group	I4/mmm (139)
uncorrected energy	-2.37	eV per atom


(9)
The following is a DFT calculation (PBE) of a relaxed structure of SmSc3Cd.

Geometry as extended XYZ:
```
10
Lattice="5.346 0.000 0.000 0.000 6.719 0.000 -2.673 0.000 7.336" Properties=species:S:1:pos:R:3 pbc="T T T"
Cd 0.000 1.680 7.214
Sc 0.000 5.039 1.918
Sc 2.673 1.680 5.418
Sc 2.673 6.700 2.751
Sc 0.000 3.340 4.586
Sm 2.673 5.039 5.686
Sc 0.000 0.019 4.586
Cd 2.673 5.039 0.123
Sm 0.000 1.680 1.650
Sc 2.673 3.378 2.751
```

Calculated values
space group	Cmcm (63)
uncorrected energy	-4.95	eV per atom


(10)
The following is a DFT calculation (PBE) of a relaxed structure of MnRuAu.

Geometry as extended XYZ:
```
3
Lattice="2.730 0.000 0.000 -1.365 2.364 0.000 0.000 0.000 6.747" Properties=species:S:1:pos:R:3 pbc="T T T"
Au 1.365 0.788 6.379
Ru 0.000 0.000 2.163
Mn 0.000 1.576 4.035
```

Calculated values
E above lowest polymorph	104	meV/atom
space group	P3m1 (156)
uncorrected energy	-6.98	eV per atom


(11)
The following is a DFT calculation (PBE) of a relaxed structure of Cs2BiSbCl6.

Geometry as extended XYZ:
```
10
Lattice="7.950 0.000 0.000 0.000 7.950 0.000 3.975 3.975 5.664" Properties=species:S:1:pos:R:3 pbc="T T T"
Cl 5.943 5.943 0.000
Cl 3.975 3.975 2.810
Cs 3.975 7.950 2.832
Cs 7.950 3.975 2.832
Cl 5.943 2.007 0.000
Bi 0.000 0.000 0.000
Cl 2.007 5.943 0.000
Cl 7.950 7.950 2.854
Sb 3.975 3.975 0.000
Cl 2.007 2.007 0.000
```

Calculated values
raw formation energy	-1.1803	eV per atom
space group	I4/mmm (139)
uncorrected energy	-3.26	eV per atom


(12)
The following is a DFT calculation (PBE) of a relaxed structure of Th2Zn3Ni12Rh.

Geometry as extended XYZ:
```
18
Lattice="-1.120 -7.025 5.943 4.558 -4.912 6.405 -0.019 -1.931 9.066" Properties=species:S:1:pos:R:3 pbc="T T T"
Ni 2.427 -5.372 10.190
Ni 2.001 -7.340 8.984
Zn 2.279 -2.456 3.202
Ni 1.004 -9.986 15.934
Ni 2.999 -11.285 14.774
Th 2.185 -8.861 13.683
Ni 3.187 -7.679 11.402
Ni -0.059 -4.803 5.279
Ni 0.421 -2.582 6.640
Zn -0.560 -3.513 2.972
Ni 0.233 -6.188 10.012
Ni 1.419 -6.527 12.430
Zn -0.009 -0.965 4.533
Th 1.235 -5.007 7.731
Ni 2.416 -3.882 5.480
Ni 3.479 -9.065 16.135
Rh 0.000 0.000 0.000
Ni 0.993 -8.496 11.224
```

Calculated values
space group	R-3m (166)
uncorrected energy	-5.24	eV per atom


The lowest uncorrected energy belongs to which entry? MnRuAu


Look up the uncorrected energy of the tenth one. -6.98 eV per atom


Which of these has the highest uncorrected energy? Na2La